No. 1
4
Lattice="2.301 1.329 6.737 -2.301 1.329 6.737 0.000 -2.658 6.737" Properties=species:S:1:pos:R:3 comment="SnGePb2 (PBE, relaxed)" volume_a3_per_fu=123.61 e_form_ev_per_atom=0.24 crystal_system=trigonal spacegroup="No. 160" pbc="T T T"
Sn 0.000 0.000 0.000
Ge 0.000 0.000 3.315
Pb 0.000 0.000 8.408
Pb 0.000 0.000 11.703

=====

No. 2
5
Lattice="5.389 0.000 0.000 0.000 5.389 0.000 0.000 0.000 5.389" Properties=species:S:1:pos:R:3 comment="Sn3GePb (PBE, relaxed)" volume_a3_per_fu=156.50 e_form_ev_per_atom=0.40 polymorph_energy_kj_per_mol_atoms=0.0 crystal_system=cubic spacegroup="No. 221" pbc="T T T"
Sn 0.000 0.000 2.694
Sn 0.000 2.694 0.000
Sn 2.694 0.000 0.000
Ge 0.000 0.000 0.000
Pb 2.694 2.694 2.694

=====

No. 3
4
Lattice="2.076 1.198 7.498 -2.076 1.198 7.498 0.000 -2.397 7.498" Properties=species:S:1:pos:R:3 comment="Sn2GePb (PBE, relaxed)" volume_a3_per_fu=111.92 e_form_ev_per_atom=0.13 polymorph_energy_kj_per_mol_atoms=2.1 crystal_system=trigonal spacegroup="No. 166" pbc="T T T"
Sn 0.000 0.000 5.320
Sn 0.000 0.000 17.175
Ge 0.000 0.000 11.248
Pb 0.000 0.000 0.000

=====

No. 4
4
Lattice="1.697 0.980 11.490 -1.697 0.980 11.490 0.000 -1.960 11.490" Properties=species:S:1:pos:R:3 comment="SnGePb2 (PBE, relaxed)" volume_a3_per_fu=114.69 e_form_ev_per_atom=0.20 crystal_system=trigonal spacegroup="No. 166" pbc="T T T"
Sn 0.000 0.000 0.000
Ge 0.000 0.000 17.236
Pb 0.000 0.000 3.223
Pb 0.000 0.000 31.248

=====

No. 5
8
Lattice="-3.271 3.271 6.474 3.271 -3.271 6.474 3.271 3.271 -6.474" Properties=species:S:1:pos:R:3 comment="Sn2GePb (PBE, relaxed)" volume_a3_per_fu=138.54 e_form_ev_per_atom=0.11 polymorph_energy_kj_per_mol_atoms=0.0 crystal_system=tetragonal spacegroup="No. 122" pbc="T T T"
Sn 4.907 1.428 -1.618
Sn 1.428 1.636 1.618
Sn -1.636 1.843 4.855
Sn 1.843 1.636 8.092
Ge 0.000 0.000 0.000
Ge 0.000 3.271 3.237
Pb 3.271 0.000 3.237
Pb 0.000 0.000 6.474

=====

No. 6
4
Lattice="0.000 3.668 3.668 3.668 0.000 3.668 3.668 3.668 0.000" Properties=species:S:1:pos:R:3 comment="SnGe2Pb (PBE, relaxed)" volume_a3_per_fu=98.69 e_form_ev_per_atom=0.26 polymorph_energy_kj_per_mol_atoms=11.0 crystal_system=cubic spacegroup="No. 225" pbc="T T T"
Sn 0.000 0.000 0.000
Ge 1.834 1.834 1.834
Ge 5.502 5.502 5.502
Pb 3.668 3.668 3.668

=====

No. 7
5
Lattice="5.776 0.000 0.000 0.000 5.776 0.000 0.000 0.000 5.776" Properties=species:S:1:pos:R:3 comment="SnGePb3 (PBE, relaxed)" volume_a3_per_fu=192.71 e_form_ev_per_atom=0.76 polymorph_energy_kj_per_mol_atoms=30.1 crystal_system=cubic spacegroup="No. 221" pbc="T T T"
Sn 0.000 0.000 0.000
Ge 2.888 2.888 2.888
Pb 0.000 0.000 2.888
Pb 0.000 2.888 0.000
Pb 2.888 0.000 0.000

=====

No. 8
4
Lattice="1.980 1.143 8.218 -1.980 1.143 8.218 0.000 -2.286 8.218" Properties=species:S:1:pos:R:3 comment="Sn2GePb (PBE, relaxed)" volume_a3_per_fu=111.57 e_form_ev_per_atom=0.14 polymorph_energy_kj_per_mol_atoms=2.6 crystal_system=trigonal spacegroup="No. 160" pbc="T T T"
Sn 0.000 0.000 0.000
Sn 0.000 0.000 4.787
Ge 0.000 0.000 14.725
Pb 0.000 0.000 18.846